VASP calculation (PBE) on crystalline NbCuH3 at its relaxed geometry.

a = 3.3580 Å, b = 3.3580 Å, c = 3.3580 Å
α = 90.00°, β = 90.00°, γ = 90.00°
Atoms (fractional coordinates):
1 H 0.0000 0.5000 0.0000
2 H 0.5000 0.0000 0.0000
3 Cu 0.0000 0.0000 0.0000
4 Nb 0.5000 0.5000 0.5000
5 H 0.0000 0.0000 0.5000

Output
E_tot = -4.58 eV/atom
DOS(E_F) = 0.329 states/eV per atom
ρ = 6.99 Mg/m³

=====

VASP calculation (PBE) on crystalline SmTmMgPb at its relaxed geometry.

a = 5.3808 Å, b = 5.3808 Å, c = 5.3808 Å
α = 60.00°, β = 60.00°, γ = 60.00°
Atoms (fractional coordinates):
1 Pb 0.2500 0.2500 0.2500
2 Mg 0.7500 0.7500 0.7500
3 Tm 0.0000 0.0000 0.0000
4 Sm 0.5000 0.5000 0.5000

Output
ΔE_f = -103 kJ/mol of formula units
E_tot = -3.89 eV/atom
DOS(E_F) = 1.050 states/eV per atom
ρ = 8.30 Mg/m³

=====

Look up the ρ of the first one.
6.99 Mg/m³